(1)
Density functional theory data (PBE-GGA) for an optimized crystal structure of Zn5RhAu2.

Output
Formation enthalpy at 0 K = -0.252 eV per atom
Calculated volume = 242.9 Å³ per cell

a = 4.034 Å, b = 4.034 Å, c = 14.927 Å
α = 90.00°, β = 90.00°, γ = 90.00°
Element x y z (fractional)
Zn 0.000 0.000 0.000
Zn 0.000 0.500 0.118
Zn 0.000 0.500 0.382
Zn 0.000 0.500 0.618
Zn 0.000 0.500 0.882
Zn 0.500 0.000 0.118
Zn 0.500 0.000 0.382
Zn 0.500 0.000 0.618
Zn 0.500 0.000 0.882
Zn 0.500 0.500 0.500
Rh 0.000 0.000 0.500
Rh 0.500 0.500 0.000
Au 0.000 0.000 0.260
Au 0.000 0.000 0.740
Au 0.500 0.500 0.240
Au 0.500 0.500 0.760



(2)
Density functional theory data (PBE-GGA) for an optimized crystal structure of Tl2CrAu.

Output
Formation enthalpy at 0 K = 0.380 eV per atom
Calculated volume = 178.0 Å³ per cell

a = 6.343 Å, b = 7.085 Å, c = 3.961 Å
α = 90.00°, β = 90.00°, γ = 90.00°
Element x y z (fractional)
Tl 0.250 0.250 0.000
Tl 0.250 0.750 0.000
Tl 0.750 0.250 0.000
Tl 0.750 0.750 0.000
Cr 0.000 0.000 0.500
Cr 0.500 0.500 0.500
Au 0.000 0.500 0.500
Au 0.500 0.000 0.500



(3)
Density functional theory data (PBE-GGA) for an optimized crystal structure of La4GaIr3.

Output
Formation enthalpy at 0 K = -0.693 eV per atom
Calculated volume = 201.3 Å³ per cell

a = 4.054 Å, b = 4.452 Å, c = 11.154 Å
α = 90.00°, β = 90.00°, γ = 90.00°
Element x y z (fractional)
La 0.000 0.000 0.000
La 0.000 0.500 0.261
La 0.500 0.000 0.475
La 0.500 0.500 0.771
Ga 0.000 0.000 0.690
Ir 0.000 0.500 0.566
Ir 0.500 0.000 0.218
Ir 0.500 0.500 0.034



(4)
Density functional theory data (PBE-GGA) for an optimized crystal structure of RbCrCu2.

Output
Formation enthalpy at 0 K = 1.044 eV per atom
Calculated volume = 355.2 Å³ per cell

a = 7.082 Å, b = 7.082 Å, c = 7.082 Å
α = 90.00°, β = 90.00°, γ = 90.00°
Element x y z (fractional)
Rb 0.000 0.000 0.000
Rb 0.000 0.500 0.500
Rb 0.500 0.000 0.500
Rb 0.500 0.500 0.000
Cr 0.000 0.000 0.500
Cr 0.000 0.500 0.000
Cr 0.500 0.000 0.000
Cr 0.500 0.500 0.500
Cu 0.250 0.250 0.250
Cu 0.250 0.250 0.750
Cu 0.250 0.750 0.250
Cu 0.250 0.750 0.750
Cu 0.750 0.250 0.250
Cu 0.750 0.250 0.750
Cu 0.750 0.750 0.250
Cu 0.750 0.750 0.750



Question: Which value of formation enthalpy at 0 K does entry 1 give?
Answer: -0.252 eV per atom



Question: What is the formation enthalpy at 0 K in the third record?
Answer: -0.693 eV per atom